1.
ThPb7 | PBE | relaxed

abc: 7.017 7.017 7.017
angles: 60.00 60.00 60.00
Atoms (fractional coordinates):
Th (0.000, 0.000, 0.000)
Pb (0.000, 0.000, 0.500)
Pb (0.000, 0.500, 0.000)
Pb (0.000, 0.500, 0.500)
Pb (0.500, 0.000, 0.000)
Pb (0.500, 0.000, 0.500)
Pb (0.500, 0.500, 0.000)
Pb (0.500, 0.500, 0.500)

The total magnetization is 0.00 μB/f.u. As for the crystal system: cubic. The formation enthalpy at 0 K comes out at -8.2 kJ per mole of atoms.

2.
ThPb2 | PBE | relaxed

abc: 6.208 6.201 4.044
angles: 71.07 70.89 38.04
Atoms (fractional coordinates):
Th (0.000, 0.000, 0.000)
Pb (0.321, 0.321, 0.679)
Pb (0.679, 0.679, 0.321)

The total magnetization is 0.00 μB/f.u. As for the crystal system: orthorhombic. The formation enthalpy at 0 K comes out at -8.0 kJ per mole of atoms.

3.
Th2Pb3 | PBE | relaxed

abc: 6.681 6.681 6.681
angles: 48.38 48.38 48.38
Atoms (fractional coordinates):
Th (0.102, 0.102, 0.102)
Th (0.898, 0.898, 0.898)
Pb (0.312, 0.312, 0.312)
Pb (0.500, 0.500, 0.500)
Pb (0.688, 0.688, 0.688)

The total magnetization is 0.00 μB/f.u. As for the crystal system: trigonal. The formation enthalpy at 0 K comes out at -10.5 kJ per mole of atoms.

Number 1: Fermi-level density of states 0.7793 states/eV/atom. Number 2: Fermi-level density of states 0.8106 states/eV/atom. Number 3: Fermi-level density of states 1.0818 states/eV/atom.